This record from the Alexandria database describes crystalline ThHgOs at its relaxed geometry. The functional is PBE-GGA.

Cell: 9.066 9.066 4.038 Å, 90.00 90.00 154.74°
Fractional positions:
1 Th 0.095 0.905 0.750
2 Th 0.905 0.095 0.250
3 Hg 0.289 0.711 0.750
4 Hg 0.711 0.289 0.250
5 Os 0.450 0.550 0.750
6 Os 0.550 0.450 0.250

## Properties
- Raw total energy: -39.48 eV for the cell shown
- Symmetry: Cmcm
- Energy relative to the elements: -0.264 eV/atom
- Energy above the lowest structure with this stoichiometry: 0 meV per atom



This record from the Alexandria database describes crystalline TbBe2CuPd5 at its relaxed geometry. The functional is PBE-GGA.

Cell: 4.369 4.369 7.046 Å, 90.00 90.00 90.00°
Fractional positions:
1 Tb 0.000 0.000 0.000
2 Be 0.500 0.500 0.341
3 Be 0.500 0.500 0.659
4 Cu 0.000 0.000 0.500
5 Pd 0.000 0.500 0.285
6 Pd 0.000 0.500 0.715
7 Pd 0.500 0.000 0.285
8 Pd 0.500 0.000 0.715
9 Pd 0.500 0.500 0.000

## Properties
- Raw total energy: -46.43 eV for the cell shown
- Symmetry: P4/mmm
- Energy relative to the elements: -0.476 eV/atom



This record from the Alexandria database describes crystalline ThSc2Tl at its relaxed geometry. The functional is PBE-GGA.

Cell: 10.448 10.448 10.448 Å, 18.95 18.95 18.95°
Fractional positions:
1 Th 0.000 0.000 0.000
2 Sc 0.247 0.247 0.247
3 Sc 0.753 0.753 0.753
4 Tl 0.500 0.500 0.500

## Properties
- Raw total energy: -22.83 eV for the cell shown
- Symmetry: R-3m
- Energy relative to the elements: -0.095 eV/atom
- Energy above the lowest structure with this stoichiometry: 74 meV per atom



Results for DOS(E_F): 3.8 2.5 3.7 (in states/eV/cell, following the order of the records).